# 1
Density functional theory data (PBE-GGA) for a relaxed YAlSn2 crystal.

Summary:
crystal system: tetragonal
E_form: -0.3902 eV per atom
density of states at the Fermi level: 0.437 states/eV/atom

a b c (Å): 4.603 4.603 4.528
angles (deg): 90.00 90.00 90.00
Fractional positions:
Y 0.000 0.000 0.000
Al 0.500 0.500 0.000
Sn 0.000 0.500 0.500
Sn 0.500 0.000 0.500

# 2
Density functional theory data (PBE-GGA) for a relaxed FeCuPd crystal.

Summary:
crystal system: orthorhombic
E_form: 0.0072 eV per atom
excess energy over the best structure of this formula in the dataset: 0.022 eV per atom
density of states at the Fermi level: 0.819 states/eV/atom

a b c (Å): 6.834 6.834 4.248
angles (deg): 90.00 90.00 156.24
Fractional positions:
Fe 0.230 0.770 0.750
Fe 0.770 0.230 0.250
Cu 0.434 0.566 0.250
Cu 0.566 0.434 0.750
Pd 0.103 0.897 0.250
Pd 0.897 0.103 0.750

# 3
Density functional theory data (PBE-GGA) for a relaxed La6TbYHo2 crystal.

Summary:
crystal system: monoclinic
E_form: 0.1143 eV per atom
density of states at the Fermi level: 1.132 states/eV/atom

a b c (Å): 9.087 9.087 9.242
angles (deg): 90.92 90.92 114.36
Fractional positions:
La 0.024 0.462 0.820
La 0.074 0.776 0.588
La 0.224 0.926 0.912
La 0.285 0.563 0.399
La 0.437 0.715 0.101
La 0.462 0.024 0.320
La 0.538 0.976 0.680
La 0.563 0.285 0.899
La 0.715 0.437 0.601
La 0.776 0.074 0.088
La 0.926 0.224 0.412
La 0.976 0.538 0.180
Tb 0.062 0.938 0.250
Tb 0.938 0.062 0.750
Y 0.426 0.574 0.750
Y 0.574 0.426 0.250
Ho 0.203 0.295 0.065
Ho 0.295 0.203 0.565
Ho 0.705 0.797 0.435
Ho 0.797 0.705 0.935

# 4
Density functional theory data (PBE-GGA) for a relaxed Te3IrO crystal.

Summary:
formation energy without anion corrections: 0.707 eV/atom
crystal system: cubic
excess energy over the best structure of this formula in the dataset: 0.000 eV per atom
density of states at the Fermi level: 1.072 states/eV/atom

a b c (Å): 4.691 4.691 4.691
angles (deg): 90.00 90.00 90.00
Fractional positions:
Te 0.000 0.000 0.500
Te 0.000 0.500 0.000
Te 0.500 0.000 0.000
Ir 0.500 0.500 0.500
O 0.000 0.000 0.000

# 5
Density functional theory data (PBE-GGA) for a relaxed CaPuCdO6 crystal.

Summary:
formation energy without anion corrections: -2.007 eV/atom
crystal system: trigonal
density of states at the Fermi level: 0.378 states/eV/atom

a b c (Å): 5.642 5.642 9.868
angles (deg): 90.00 90.00 120.00
Fractional positions:
Ca 0.000 0.000 0.000
Ca 0.000 0.000 0.500
Pu 0.333 0.667 0.250
Pu 0.667 0.333 0.750
Cd 0.333 0.667 0.750
Cd 0.667 0.333 0.250
O 0.047 0.373 0.137
O 0.047 0.674 0.363
O 0.326 0.373 0.363
O 0.326 0.953 0.137
O 0.373 0.047 0.637
O 0.373 0.326 0.863
O 0.627 0.674 0.137
O 0.627 0.953 0.363
O 0.674 0.047 0.863
O 0.674 0.627 0.637
O 0.953 0.326 0.637
O 0.953 0.627 0.863

# 6
Density functional theory data (PBE-GGA) for a relaxed RbGaAgF6 crystal.

Summary:
formation energy without anion corrections: -2.204 eV/atom
crystal system: monoclinic
excess energy over the best structure of this formula in the dataset: 0.016 eV per atom

a b c (Å): 5.623 5.623 5.913
angles (deg): 90.78 90.78 117.48
Fractional positions:
Rb 0.000 0.000 0.000
Ga 0.666 0.334 0.500
Ag 0.329 0.671 0.500
F 0.382 0.041 0.667
F 0.392 0.372 0.313
F 0.628 0.608 0.687
F 0.653 0.073 0.294
F 0.927 0.347 0.706
F 0.959 0.618 0.333

# 7
Density functional theory data (PBE-GGA) for a relaxed BaCdHg2Bi crystal.

Summary:
crystal system: orthorhombic
E_form: -0.4018 eV per atom
excess energy over the best structure of this formula in the dataset: 0.000 eV per atom
density of states at the Fermi level: 0.121 states/eV/atom

a b c (Å): 7.368 7.368 7.368
angles (deg): 141.56 139.66 56.94
Fractional positions:
Ba 0.000 0.000 0.000
Cd 0.262 0.762 0.500
Hg 0.389 0.389 0.000
Hg 0.778 0.278 0.500
Bi 0.619 0.619 0.000

# 8
Density functional theory data (PBE-GGA) for a relaxed MgFeCuCl2 crystal.

Summary:
formation energy without anion corrections: 0.307 eV/atom
crystal system: tetragonal
density of states at the Fermi level: 0.472 states/eV/atom

a b c (Å): 4.678 4.678 5.059
angles (deg): 90.00 90.00 90.00
Fractional positions:
Mg 0.000 0.000 0.000
Fe 0.500 0.500 0.000
Cu 0.500 0.500 0.500
Cl 0.000 0.500 0.500
Cl 0.500 0.000 0.500

# 9
Density functional theory data (PBE-GGA) for a relaxed LaMn2Tc crystal.

Summary:
crystal system: trigonal
E_form: 0.2342 eV per atom
excess energy over the best structure of this formula in the dataset: 0.043 eV per atom
density of states at the Fermi level: 1.051 states/eV/atom

a b c (Å): 5.923 5.923 5.923
angles (deg): 40.16 40.16 40.16
Fractional positions:
La 0.000 0.000 0.000
Mn 0.189 0.189 0.189
Mn 0.510 0.510 0.510
Tc 0.804 0.804 0.804

# 10
Density functional theory data (PBE-GGA) for a relaxed KHfAg2 crystal.

Summary:
crystal system: cubic
E_form: 0.5997 eV per atom
excess energy over the best structure of this formula in the dataset: 0.000 eV per atom
density of states at the Fermi level: 1.063 states/eV/atom

a b c (Å): 5.095 5.095 5.095
angles (deg): 60.00 60.00 60.00
Fractional positions:
K 0.000 0.000 0.000
Hf 0.500 0.500 0.500
Ag 0.250 0.250 0.250
Ag 0.750 0.750 0.750

# 11
Density functional theory data (PBE-GGA) for a relaxed MgAg3 crystal.

Summary:
crystal system: tetragonal
E_form: -0.1487 eV per atom
excess energy over the best structure of this formula in the dataset: 0.015 eV per atom
density of states at the Fermi level: 0.269 states/eV/atom

a b c (Å): 8.974 8.974 8.974
angles (deg): 153.52 153.52 37.80
Fractional positions:
Mg 0.126 0.126 0.000
Mg 0.874 0.874 0.000
Ag 0.000 0.500 0.500
Ag 0.250 0.750 0.500
Ag 0.376 0.376 0.000
Ag 0.500 0.000 0.500
Ag 0.624 0.624 0.000
Ag 0.750 0.250 0.500

# 12
Density functional theory data (PBE-GGA) for a relaxed FeCoSi3 crystal.

Summary:
formation energy without anion corrections: 0.610 eV/atom
crystal system: cubic
density of states at the Fermi level: 1.445 states/eV/atom

a b c (Å): 4.259 4.259 4.259
angles (deg): 90.00 90.00 90.00
Fractional positions:
Fe 0.000 0.000 0.000
Co 0.500 0.500 0.500
Si 0.000 0.000 0.500
Si 0.000 0.500 0.000
Si 0.500 0.000 0.000

# 13
Density functional theory data (PBE-GGA) for a relaxed La2P3Ir12Rh crystal.

Summary:
crystal system: trigonal
E_form: 0.1510 eV per atom
density of states at the Fermi level: 0.982 states/eV/atom

a b c (Å): 7.538 7.538 7.538
angles (deg): 65.30 65.30 65.30
Fractional positions:
La 0.106 0.106 0.106
La 0.894 0.894 0.894
P 0.000 0.500 0.500
P 0.500 0.000 0.500
P 0.500 0.500 0.000
Ir 0.122 0.634 0.634
Ir 0.155 0.155 0.593
Ir 0.155 0.593 0.155
Ir 0.366 0.366 0.878
Ir 0.366 0.878 0.366
Ir 0.407 0.845 0.845
Ir 0.593 0.155 0.155
Ir 0.634 0.122 0.634
Ir 0.634 0.634 0.122
Ir 0.845 0.407 0.845
Ir 0.845 0.845 0.407
Ir 0.878 0.366 0.366
Rh 0.500 0.500 0.500

# 14
Density functional theory data (PBE-GGA) for a relaxed U3ReC3 crystal.

Summary:
crystal system: cubic
E_form: 0.1115 eV per atom
density of states at the Fermi level: 1.694 states/eV/atom

a b c (Å): 4.677 4.677 4.677
angles (deg): 90.00 90.00 90.00
Fractional positions:
U 0.000 0.000 0.500
U 0.000 0.500 0.000
U 0.500 0.000 0.000
Re 0.500 0.500 0.500
C 0.000 0.500 0.500
C 0.500 0.000 0.500
C 0.500 0.500 0.000

# 15
Density functional theory data (PBE-GGA) for a relaxed Al3HgI crystal.

Summary:
formation energy without anion corrections: 0.436 eV/atom
crystal system: cubic
excess energy over the best structure of this formula in the dataset: 0.000 eV per atom
density of states at the Fermi level: 0.474 states/eV/atom

a b c (Å): 5.258 5.258 5.258
angles (deg): 90.00 90.00 90.00
Fractional positions:
Al 0.000 0.000 0.500
Al 0.000 0.500 0.000
Al 0.500 0.000 0.000
Hg 0.000 0.000 0.000
I 0.500 0.500 0.500

# 16
Density functional theory data (PBE-GGA) for a relaxed PaNbAu crystal.

Summary:
crystal system: hexagonal
E_form: 0.1164 eV per atom
excess energy over the best structure of this formula in the dataset: 0.103 eV per atom
density of states at the Fermi level: 1.984 states/eV/atom

a b c (Å): 4.966 4.966 2.972
angles (deg): 90.00 90.00 120.00
Fractional positions:
Pa 0.000 0.000 0.000
Nb 0.667 0.333 0.500
Au 0.333 0.667 0.500

# 17
Density functional theory data (PBE-GGA) for a relaxed ZrTaNi2W crystal.

Summary:
crystal system: tetragonal
E_form: 1.6057 eV per atom
density of states at the Fermi level: 0.864 states/eV/atom

a b c (Å): 4.400 4.400 4.914
angles (deg): 90.00 90.00 90.00
Fractional positions:
Zr 0.000 0.000 0.000
Ta 0.500 0.500 0.500
Ni 0.000 0.500 0.000
Ni 0.500 0.000 0.000
W 0.000 0.000 0.500

# 18
Density functional theory data (PBE-GGA) for a relaxed Ac3La3Tl2Hg crystal.

Summary:
crystal system: hexagonal
E_form: -0.2739 eV per atom
density of states at the Fermi level: 1.210 states/eV/atom

a b c (Å): 9.557 9.557 4.029
angles (deg): 90.00 90.00 120.00
Fractional positions:
Ac 0.000 0.274 0.000
Ac 0.274 0.000 0.000
Ac 0.726 0.726 0.000
La 0.000 0.603 0.500
La 0.397 0.397 0.500
La 0.603 0.000 0.500
Tl 0.333 0.667 0.000
Tl 0.667 0.333 0.000
Hg 0.000 0.000 0.500

# 19
Density functional theory data (PBE-GGA) for a relaxed Cr2CuSb crystal.

Summary:
formation energy without anion corrections: 0.218 eV/atom
crystal system: orthorhombic
density of states at the Fermi level: 0.736 states/eV/atom

a b c (Å): 3.901 3.930 4.076
angles (deg): 90.00 90.00 90.00
Fractional positions:
Cr 0.000 0.000 0.000
Cr 0.500 0.500 0.000
Cu 0.000 0.500 0.500
Sb 0.500 0.000 0.500

# 20
Density functional theory data (PBE-GGA) for a relaxed HfTaTc2 crystal.

Summary:
crystal system: tetragonal
E_form: 0.3863 eV per atom
excess energy over the best structure of this formula in the dataset: 0.900 eV per atom
density of states at the Fermi level: 0.917 states/eV/atom

a b c (Å): 5.793 5.793 5.793
angles (deg): 103.84 103.84 121.45
Fractional positions:
Hf 0.000 0.000 0.000
Hf 0.750 0.250 0.500
Ta 0.250 0.750 0.500
Ta 0.500 0.500 0.000
Tc 0.138 0.125 0.513
Tc 0.375 0.862 0.987
Tc 0.612 0.625 0.487
Tc 0.875 0.388 0.013